<one>
Tb2Nd6Sc: optimized geometry, GGA-PBE.

Properties
DOS at the Fermi energy   1.47 states/eV/atom

```
Tb2Nd6Sc
1.0
-1.6494 -5.4338 -2.5382
7.2841 0.0037 -6.9832
7.8996 -5.1335 3.6148
Nd Tb Sc
12 4 2
direct
0.8248 0.0248 0.7545 Nd
0.8535 0.6515 0.9307 Nd
0.6465 0.0693 0.3485 Nd
0.5121 0.3099 0.5918 Nd
0.1752 0.9752 0.2455 Nd
0.6752 0.2455 0.9752 Nd
0.3248 0.7545 0.0248 Nd
0.0121 0.5918 0.3099 Nd
0.9879 0.4082 0.6901 Nd
0.4879 0.6901 0.4082 Nd
0.3535 0.9307 0.6515 Nd
0.1465 0.3485 0.0693 Nd
0.5725 0.4322 0.2266 Tb
0.0725 0.2266 0.4322 Tb
0.9275 0.7734 0.5678 Tb
0.4275 0.5678 0.7734 Tb
0.7500 0.8933 0.1067 Sc
0.2500 0.1067 0.8933 Sc
```



<two>
Tb2Nd6Sc: optimized geometry, GGA-PBE.

Properties
DOS at the Fermi energy   1.42 states/eV/atom

```
Tb2Nd6Sc
1.0
-3.8332 1.8956 2.8043
-0.3602 -6.1443 -1.0018
6.7820 1.3578 8.3527
Nd Tb Sc
6 2 1
direct
0.0035 0.0070 0.1735 Nd
0.3333 0.6666 0.9453 Nd
0.6667 0.3334 0.0547 Nd
0.9965 0.9930 0.8265 Nd
0.3313 0.6625 0.6072 Nd
0.6687 0.3375 0.3928 Nd
0.3382 0.6764 0.2830 Tb
0.6618 0.3236 0.7170 Tb
0.0000 0.0000 0.5000 Sc
```



Verdict on stability: <two> comes out on top.



<one>
Tb2Nd5Sc2: optimized geometry, GGA-PBE.

Properties
DOS at the Fermi energy   1.64 states/eV/atom

```
Tb2Nd5Sc2
1.0
3.3298 0.0000 1.0124
0.0013 10.1446 5.9775
-1.1418 2.4977 9.7372
Nd Tb Sc
5 2 2
direct
0.7818 0.6464 0.7900 Nd
0.6622 0.0140 0.6616 Nd
0.0000 0.0000 0.0000 Nd
0.2182 0.3536 0.2100 Nd
0.3378 0.9860 0.3384 Nd
0.0548 0.3390 0.5515 Tb
0.9452 0.6610 0.4485 Tb
0.5977 0.6507 0.1540 Sc
0.4023 0.3493 0.8460 Sc
```



<two>
Tb2Nd5Sc2: optimized geometry, GGA-PBE.

Properties
DOS at the Fermi energy   1.61 states/eV/atom

```
Tb2Nd5Sc2
1.0
-6.4342 -8.9854 -2.1968
3.6897 -3.6438 4.0971
-3.3703 8.2464 5.0389
Nd Tb Sc
10 4 4
direct
0.3599 0.9686 0.2974 Nd
0.5624 0.1711 0.7026 Nd
0.7951 0.8155 0.1237 Nd
0.4376 0.4686 0.2974 Nd
0.0991 0.8779 0.5000 Nd
0.6401 0.6711 0.7026 Nd
0.1714 0.1918 0.8763 Nd
0.9009 0.3779 0.5000 Nd
0.2049 0.6918 0.8763 Nd
0.8286 0.3155 0.1237 Nd
0.7686 0.8680 0.5000 Tb
0.2314 0.3680 0.5000 Tb
0.5000 0.4822 0.0000 Tb
0.0000 0.9822 0.0000 Tb
0.8821 0.3881 0.8154 Sc
0.4334 0.8881 0.8154 Sc
0.5666 0.0727 0.1846 Sc
0.1179 0.5727 0.1846 Sc
```



Verdict on stability: <one> comes out on top.



<one>
Tb6Nd8Sc: optimized geometry, GGA-PBE.

Properties
DOS at the Fermi energy   1.53 states/eV/atom

```
Tb6Nd8Sc
1.0
7.8632 0.1115 3.7857
2.4249 7.4807 3.7857
0.1511 0.1115 8.7257
Tb Nd Sc
6 8 1
direct
0.7584 0.9021 0.4567 Tb
0.2416 0.0979 0.5433 Tb
0.9021 0.4567 0.7584 Tb
0.4567 0.7584 0.9021 Tb
0.5433 0.2416 0.0979 Tb
0.0979 0.5433 0.2416 Tb
0.5780 0.5780 0.5780 Nd
0.4220 0.4220 0.4220 Nd
0.8879 0.2822 0.2464 Nd
0.2464 0.8879 0.2822 Nd
0.7178 0.7536 0.1121 Nd
0.2822 0.2464 0.8879 Nd
0.7536 0.1121 0.7178 Nd
0.1121 0.7178 0.7536 Nd
0.0000 0.0000 0.0000 Sc
```



<two>
Tb6Nd8Sc: optimized geometry, GGA-PBE.

Properties
DOS at the Fermi energy   1.51 states/eV/atom

```
Tb6Nd8Sc
1.0
-2.9766 7.4367 5.8091
-5.1190 -1.9102 8.2497
2.3524 1.4810 7.7367
Nd Sc Tb
8 1 6
direct
0.7721 0.0651 0.5125 Nd
0.2279 0.9349 0.4875 Nd
0.3497 0.2279 0.4875 Nd
0.9349 0.3497 0.4875 Nd
0.0651 0.6503 0.5125 Nd
0.5898 0.5898 0.2305 Nd
0.4102 0.4102 0.7695 Nd
0.6503 0.7721 0.5125 Nd
0.0000 0.0000 0.0000 Sc
0.7161 0.3802 0.9736 Tb
0.9301 0.7161 0.9736 Tb
0.3802 0.9301 0.9736 Tb
0.0699 0.2839 0.0264 Tb
0.2839 0.6198 0.0264 Tb
0.6198 0.0699 0.0264 Tb
```



Verdict on stability: <one> comes out on top.



<one>
Tb12NdSc7: optimized geometry, GGA-PBE.

Properties
DOS at the Fermi energy   1.90 states/eV/atom

```
Tb12NdSc7
1.0
-5.0489 4.3462 6.1389
-5.5290 -3.1259 -6.4596
3.8433 -7.1192 4.0759
Sc Tb Nd
7 12 1
direct
0.8840 0.6049 0.7588 Sc
0.6049 0.7588 0.8840 Sc
0.7588 0.8840 0.6049 Sc
0.3951 0.2412 0.1160 Sc
0.5000 0.5000 0.5000 Sc
0.1160 0.3951 0.2412 Sc
0.2412 0.1160 0.3951 Sc
0.1433 0.9386 0.6662 Tb
0.3338 0.8567 0.0614 Tb
0.6324 0.1904 0.5221 Tb
0.3676 0.8096 0.4779 Tb
0.8096 0.4779 0.3676 Tb
0.0614 0.3338 0.8567 Tb
0.9386 0.6662 0.1433 Tb
0.8567 0.0614 0.3338 Tb
0.1904 0.5221 0.6324 Tb
0.6662 0.1433 0.9386 Tb
0.5221 0.6324 0.1904 Tb
0.4779 0.3676 0.8096 Tb
0.0000 0.0000 0.0000 Nd
```



<two>
Tb12NdSc7: optimized geometry, GGA-PBE.

Properties
DOS at the Fermi energy   1.68 states/eV/atom

```
Tb12NdSc7
1.0
-4.1109 -8.4579 1.6411
5.0229 -0.4229 -8.1068
5.8273 2.1648 7.2446
Sc Tb Nd
7 12 1
direct
0.5000 0.5000 0.5000 Sc
0.0000 0.5000 0.0000 Sc
0.5000 0.0000 0.0000 Sc
0.0000 0.0000 0.5000 Sc
0.5000 0.0000 0.5000 Sc
0.0000 0.5000 0.5000 Sc
0.5000 0.5000 0.0000 Sc
0.9977 0.7329 0.2648 Tb
0.2671 0.2648 0.5320 Tb
0.2648 0.5320 0.2671 Tb
0.7329 0.7352 0.4680 Tb
0.2648 0.9977 0.7329 Tb
0.7329 0.2648 0.9977 Tb
0.4680 0.7329 0.7352 Tb
0.2671 0.7352 0.0023 Tb
0.0023 0.2671 0.7352 Tb
0.5320 0.2671 0.2648 Tb
0.7352 0.4680 0.7329 Tb
0.7352 0.0023 0.2671 Tb
0.0000 0.0000 0.0000 Nd
```



Verdict on stability: <one> comes out on top.



<one>
Tb3Nd2Sc2: optimized geometry, GGA-PBE.

Properties
DOS at the Fermi energy   1.42 states/eV/atom

```
Tb3Nd2Sc2
1.0
7.8090 3.9239 0.0000
1.4474 6.3537 0.0000
0.0000 0.0000 9.9417
Tb Sc Nd
6 4 4
direct
0.4078 0.8341 0.2021 Tb
0.5000 0.5000 0.5000 Tb
0.0922 0.6659 0.7021 Tb
0.0000 0.0000 0.0000 Tb
0.9078 0.3341 0.2979 Tb
0.5922 0.1659 0.7979 Tb
0.2770 0.1661 0.5004 Sc
0.7230 0.8339 0.4996 Sc
0.7770 0.6661 0.9996 Sc
0.2230 0.3339 0.0004 Sc
0.9053 0.3257 0.6959 Nd
0.5947 0.1743 0.1959 Nd
0.0947 0.6743 0.3041 Nd
0.4053 0.8257 0.8041 Nd
```



<two>
Tb3Nd2Sc2: optimized geometry, GGA-PBE.

Properties
DOS at the Fermi energy   1.45 states/eV/atom

```
Tb3Nd2Sc2
1.0
4.9861 0.0000 0.0000
-2.4931 5.4775 0.5820
0.0000 -1.9803 7.6201
Nd Sc Tb
2 2 3
direct
0.0729 0.1457 0.7239 Nd
0.9271 0.8543 0.2761 Nd
0.7845 0.5691 0.8598 Sc
0.2155 0.4309 0.1402 Sc
0.5000 0.0000 0.0000 Tb
0.3560 0.7119 0.5703 Tb
0.6440 0.2881 0.4297 Tb
```



Verdict on stability: <two> comes out on top.